# 1
Here is crystalline TlCd2Cu at its relaxed geometry from Alexandria. Energies are from PBE.

**Formation energy from the elements**: 0.143 eV/atom
**Space-group type**: No. 25

abc: 3.295 3.196 8.329
angles: 90.00 90.00 90.00
Fractional positions:
Cd 0.000 0.000 0.024
Cd 0.500 0.500 0.289
Cu 0.000 0.000 0.477
Tl 0.500 0.500 0.711


# 2
Here is crystalline Si2HgP at its relaxed geometry from Alexandria. Energies are from PBE.

**ΔE_f (raw)**: 0.2541 eV per atom
**Space-group type**: No. 122

abc: 5.746 5.746 6.769
angles: 64.88 64.88 90.00
Fractional positions:
P 0.500 0.500 0.000
P 0.250 0.750 0.500
Si 0.591 0.125 0.250
Si 0.159 0.625 0.250
Si 0.375 0.409 0.750
Si 0.875 0.841 0.750
Hg 0.000 0.000 0.000
Hg 0.750 0.250 0.500


# 3
Here is crystalline YSc2GaAu4 at its relaxed geometry from Alexandria. Energies are from PBE.

**Formation energy from the elements**: -0.704 eV/atom
**Space-group type**: No. 166

abc: 4.740 4.740 8.773
angles: 74.33 74.33 60.00
Fractional positions:
Y 0.000 0.000 0.000
Sc 0.760 0.760 0.719
Sc 0.240 0.240 0.281
Ga 0.500 0.500 0.500
Au 0.389 0.389 0.834
Au 0.879 0.879 0.363
Au 0.121 0.121 0.637
Au 0.611 0.611 0.166


# 4
Here is crystalline TiAlSb3 at its relaxed geometry from Alexandria. Energies are from PBE.

**ΔE_f (raw)**: 0.8129 eV per atom
**Space-group type**: No. 221

abc: 5.197 5.197 5.197
angles: 90.00 90.00 90.00
Fractional positions:
Sb 0.000 0.500 0.000
Sb 0.000 0.000 0.500
Sb 0.500 0.000 0.000
Al 0.000 0.000 0.000
Ti 0.500 0.500 0.500


# 5
Here is crystalline PmDyAu3 at its relaxed geometry from Alexandria. Energies are from PBE.

**Formation energy from the elements**: -0.749 eV/atom
**Space-group type**: No. 12

abc: 5.302 6.200 8.469
angles: 116.15 108.24 90.00
Fractional positions:
Pm 0.405 0.711 0.810
Pm 0.595 0.289 0.190
Dy 0.185 0.761 0.370
Dy 0.815 0.239 0.630
Au 0.000 0.244 0.000
Au 0.000 0.756 0.000
Au 0.618 0.823 0.235
Au 0.382 0.177 0.765
Au 0.789 0.699 0.578
Au 0.211 0.301 0.422


# 6
Here is crystalline Y3Er3Mg at its relaxed geometry from Alexandria. Energies are from PBE.

**Formation energy from the elements**: 0.100 eV/atom
**Space-group type**: No. 148

abc: 6.158 6.158 14.231
angles: 77.50 77.50 60.00
Last column: magnetic moment on the atom in μB.
Fractional positions:
Y 0.936 0.272 0.193  0.08
Y 0.600 0.936 0.193  0.08
Y 0.272 0.600 0.193  0.08
Y 0.728 0.400 0.807  0.08
Y 0.400 0.064 0.807  0.08
Y 0.064 0.728 0.807  0.08
Er 0.200 0.868 0.398  0.22
Er 0.534 0.200 0.398  0.22
Er 0.868 0.534 0.398  0.22
Er 0.132 0.466 0.602  0.22
Er 0.466 0.800 0.602  0.22
Er 0.800 0.132 0.602  0.22
Mg 0.667 0.667 0.000  0.00
Mg 0.333 0.333 0.000  0.00


# 7
Here is crystalline CdAsCl2 at its relaxed geometry from Alexandria. Energies are from PBE.

**ΔE_f (raw)**: 0.1044 eV per atom
**Space-group type**: No. 65

abc: 5.240 5.240 3.300
angles: 90.00 90.00 106.56
Fractional positions:
As 0.500 0.000 0.500
Cl 0.000 0.000 0.000
Cl 0.500 0.500 0.000
Cd 0.000 0.500 0.500


# 8
Here is crystalline La2AgAs at its relaxed geometry from Alexandria. Energies are from PBE.

**Formation energy from the elements**: -0.793 eV/atom
**Space-group type**: No. 38

abc: 6.148 6.148 4.513
angles: 89.99 89.99 40.79
Last column: magnetic moment on the atom in μB.
Fractional positions:
As 0.289 0.289 0.125  -0.01
Ag 0.455 0.455 0.625  0.01
La 0.017 0.017 0.125  0.10
La 0.739 0.739 0.625  0.09


# 9
Here is crystalline PaV2Zn at its relaxed geometry from Alexandria. Energies are from PBE.

**Formation energy from the elements**: 0.149 eV/atom
**Space-group type**: No. 225

abc: 4.488 4.488 4.488
angles: 60.00 60.00 60.00
Fractional positions:
Zn 0.000 0.000 0.000
Pa 0.500 0.500 0.500
V 0.250 0.250 0.250
V 0.750 0.750 0.750


# 10
Here is crystalline Ac8IrSe4S3 at its relaxed geometry from Alexandria. Energies are from PBE.

**ΔE_f (raw)**: -1.7804 eV per atom
**Space-group type**: No. 166

abc: 8.799 8.877 8.799
angles: 119.71 120.00 90.00
Fractional positions:
Ac 0.241 0.733 0.992
Ac 0.241 0.733 0.481
Ac 0.254 0.263 0.509
Ac 0.752 0.733 0.992
Ac 0.248 0.267 0.008
Ac 0.746 0.737 0.491
Ac 0.759 0.267 0.519
Ac 0.759 0.267 0.008
Ir 0.000 0.500 0.000
Se 0.500 0.000 0.000
Se 0.500 0.000 0.500
Se 0.000 0.000 0.000
Se 0.000 0.000 0.500
S 0.500 0.500 0.000
S 0.500 0.500 0.500
S 0.000 0.500 0.500


# 11
Here is crystalline Cs6Rb8Li at its relaxed geometry from Alexandria. Energies are from PBE.

**Formation energy from the elements**: 0.040 eV/atom
**Space-group type**: No. 148

abc: 11.815 11.815 11.815
angles: 72.04 72.04 72.04
Fractional positions:
Cs 0.174 0.443 0.618
Cs 0.382 0.826 0.557
Cs 0.557 0.382 0.826
Cs 0.443 0.618 0.174
Cs 0.618 0.174 0.443
Cs 0.826 0.557 0.382
Rb 0.105 0.667 0.963
Rb 0.037 0.895 0.333
Rb 0.333 0.037 0.895
Rb 0.759 0.759 0.759
Rb 0.241 0.241 0.241
Rb 0.667 0.963 0.105
Rb 0.963 0.105 0.667
Rb 0.895 0.333 0.037
Li 0.000 0.000 0.000


# 12
Here is crystalline RbY2Zr at its relaxed geometry from Alexandria. Energies are from PBE.

**Formation energy from the elements**: 0.784 eV/atom
**Space-group type**: No. 225

abc: 5.728 5.728 5.728
angles: 60.00 60.00 60.00
Last column: magnetic moment on the atom in μB.
Fractional positions:
Y 0.250 0.250 0.250  0.17
Y 0.750 0.750 0.750  0.17
Rb 0.000 0.000 0.000  0.00
Zr 0.500 0.500 0.500  0.83


# 13
Here is crystalline Zr2CoHg at its relaxed geometry from Alexandria. Energies are from PBE.

**Formation energy from the elements**: -0.046 eV/atom
**Space-group type**: No. 65

abc: 7.539 4.755 3.435
angles: 90.00 62.91 128.91
Last column: magnetic moment on the atom in μB.
Fractional positions:
Co 0.000 0.500 0.500  1.39
Hg 0.500 0.500 0.000  0.01
Zr 0.000 0.000 0.000  -0.03
Zr 0.500 0.000 0.500  -0.03


# 14
Here is crystalline LiDyHoPb at its relaxed geometry from Alexandria. Energies are from PBE.

**Formation energy from the elements**: -0.256 eV/atom
**Space-group type**: No. 216

abc: 5.271 5.271 5.271
angles: 60.00 60.00 60.00
Fractional positions:
Pb 0.500 0.500 0.500
Li 0.000 0.000 0.000
Ho 0.250 0.250 0.250
Dy 0.750 0.750 0.750


# 15
Here is crystalline Rb3Pr2NpSe6 at its relaxed geometry from Alexandria. Energies are from PBE.

**ΔE_f (raw)**: -1.5570 eV per atom
**Space-group type**: No. 12

abc: 7.593 7.593 8.408
angles: 98.65 98.65 119.96
Last column: magnetic moment on the atom in μB.
Fractional positions:
Rb 0.169 0.831 0.500  0.00
Rb 0.831 0.169 0.500  0.00
Rb 0.500 0.500 0.500  0.00
Pr 0.334 0.666 0.000  0.03
Pr 0.666 0.334 0.000  0.03
Np 0.000 0.000 0.000  3.90
Se 0.933 0.606 0.800  -0.02
Se 0.740 0.740 0.201  -0.02
Se 0.067 0.394 0.200  -0.02
Se 0.606 0.933 0.800  -0.02
Se 0.260 0.260 0.799  -0.02
Se 0.394 0.067 0.200  -0.02


Number 1: D(E_F) 0.42 states/eV per atom. Number 2: D(E_F) 0.37 states/eV per atom. Number 3: D(E_F) 0.41 states/eV per atom. Number 4: D(E_F) 1.37 states/eV per atom. Number 5: D(E_F) 0.58 states/eV per atom. Number 6: D(E_F) 1.58 states/eV per atom. Number 7: D(E_F) 0.39 states/eV per atom. Number 8: D(E_F) 0.94 states/eV per atom. Number 9: D(E_F) 1.31 states/eV per atom. Number 10: D(E_F) 0.59 states/eV per atom. Number 11: D(E_F) 1.04 states/eV per atom. Number 12: D(E_F) 1.17 states/eV per atom. Number 13: D(E_F) 1.01 states/eV per atom. Number 14: D(E_F) 0.93 states/eV per atom. Number 15: D(E_F) 0.54 states/eV per atom.